# KSeO2F (SCAN, PBEsol geometry)
data_KSeO2F
_chemical_formula_sum 'K2 Se2 O4 F2'
_cell_length_a 4.440
_cell_length_b 6.045
_cell_length_c 7.086
_cell_angle_alpha 90.00
_cell_angle_beta 107.77
_cell_angle_gamma 90.00
_space_group_name_H-M_alt 'P 1 21/m 1'
_space_group_IT_number 11
_space_group_name_Hall '-P 2yb'
loop_
_atom_site_label
_atom_site_type_symbol
_atom_site_fract_x
_atom_site_fract_y
_atom_site_fract_z
_atom_site_occupancy
K1 K 0.169 0.250 0.329 1
Se1 Se 0.420 0.250 0.853 1
O1 O 0.348 0.030 0.706 1
F1 F 0.125 0.750 0.082 1
# DOS at the Fermi energy (states/eV/cell): 0.000
# E_tot (eV per atom): -10.5598
# Formation energy (no corrections) (kcal/mol of atoms): -38.69
# M_tot (μB per formula unit): 0.0